Density functional theory data (PBE-GGA) for a relaxed NaSn2As2 crystal.

crystal system: tetragonal
energy: -3.8354 eV per atom
ΔH_f (0 K): -0.55 eV per formula unit
total magnetization: 0.000 μB per atom
volume: 26.89 Å³/atom
E above lowest polymorph: 142.5 meV per atom

Lattice parameters (Å, degrees): 5.3374 5.3374 9.4399 90.00 90.00 90.00
Last column: nearest neighbours and their distance in Å.
Atoms (fractional coordinates):
Na  0.0000  0.0000  0.0000  2 Sn 3.25, 8 As 3.56
Na  0.5000  0.5000  0.5000  2 Sn 3.25, 8 As 3.56
Sn  0.0000  0.0000  0.3447  4 As 2.81, 1 Sn 2.93
Sn  0.0000  0.0000  0.6553  4 As 2.81, 1 Sn 2.93
Sn  0.5000  0.5000  0.1553  4 As 2.81, 1 Sn 2.93
Sn  0.5000  0.5000  0.8447  4 As 2.81, 1 Sn 2.93
As  0.0000  0.5000  0.2500  4 Sn 2.81
As  0.0000  0.5000  0.7500  4 Sn 2.81
As  0.5000  0.0000  0.2500  4 Sn 2.81
As  0.5000  0.0000  0.7500  4 Sn 2.81